Record 1
Ac2Ge3Pd2: optimized geometry, GGA-PBE.

Lattice parameters (Å, degrees): 9.9689 9.9689 7.2847 90.00 90.00 153.59
Sites, in units of the cell vectors:
1 Ac 0.0553 0.9447 0.7500
2 Ac 0.1588 0.8412 0.2500
3 Ac 0.8412 0.1588 0.7500
4 Ac 0.9447 0.0553 0.2500
5 Ge 0.2225 0.7775 0.7500
6 Ge 0.4391 0.5609 0.5700
7 Ge 0.4391 0.5609 0.9300
8 Ge 0.5609 0.4391 0.0700
9 Ge 0.5609 0.4391 0.4300
10 Ge 0.7775 0.2225 0.2500
11 Pd 0.3037 0.6963 0.0500
12 Pd 0.3037 0.6963 0.4500
13 Pd 0.6963 0.3037 0.5500
14 Pd 0.6963 0.3037 0.9500

Values from the calculation:
Volume ... 322 Å³ per cell
Space-group type ... No. 63
Formation enthalpy at 0 K ... -0.775 eV/atom

Record 2
PrDyBe2Pd5: optimized geometry, GGA-PBE.

Lattice parameters (Å, degrees): 4.0882 4.0882 9.1130 90.00 90.00 90.00
Sites, in units of the cell vectors:
1 Pr 0.0000 0.0000 0.0000
2 Dy 0.0000 0.0000 0.5000
3 Be 0.5000 0.5000 0.3692
4 Be 0.5000 0.5000 0.6308
5 Pd 0.0000 0.5000 0.2499
6 Pd 0.0000 0.5000 0.7501
7 Pd 0.5000 0.0000 0.2499
8 Pd 0.5000 0.0000 0.7501
9 Pd 0.5000 0.5000 0.0000

Values from the calculation:
Volume ... 152 Å³ per cell
Space-group type ... No. 123
Formation enthalpy at 0 K ... -0.677 eV/atom

Record 3
Y2TlAgH: optimized geometry, GGA-PBE.

Lattice parameters (Å, degrees): 4.9364 4.9364 4.2210 90.00 90.00 90.00
Sites, in units of the cell vectors:
1 Y 0.0000 0.5000 0.0000
2 Y 0.5000 0.0000 0.0000
3 Tl 0.0000 0.0000 0.5000
4 Ag 0.5000 0.5000 0.5000
5 H 0.5000 0.5000 0.0000

Values from the calculation:
Volume ... 103 Å³ per cell
Space-group type ... No. 123
E_tot ... -4.631 eV/atom

Record 4
PmCdGaPt: optimized geometry, GGA-PBE.

Lattice parameters (Å, degrees): 4.9047 4.9047 4.9047 60.00 60.00 60.00
Sites, in units of the cell vectors:
1 Pm 0.0000 0.0000 0.0000
2 Cd 0.5000 0.5000 0.5000
3 Ga 0.7500 0.7500 0.7500
4 Pt 0.2500 0.2500 0.2500

Values from the calculation:
Volume ... 83 Å³ per cell
Space-group type ... No. 216
Formation enthalpy at 0 K ... -0.605 eV/atom

Record 5
MgNpZnO6: optimized geometry, GGA-PBE.

Lattice parameters (Å, degrees): 5.2350 5.2350 9.2462 90.00 90.00 120.00
Sites, in units of the cell vectors:
1 Mg 0.0000 0.0000 0.0000
2 Mg 0.0000 0.0000 0.5000
3 Np 0.3333 0.6667 0.2500
4 Np 0.6667 0.3333 0.7500
5 Zn 0.3333 0.6667 0.7500
6 Zn 0.6667 0.3333 0.2500
7 O 0.0145 0.3465 0.1295
8 O 0.0145 0.6680 0.3705
9 O 0.3320 0.3465 0.3705
10 O 0.3320 0.9855 0.1295
11 O 0.3465 0.0145 0.6295
12 O 0.3465 0.3320 0.8705
13 O 0.6535 0.6680 0.1295
14 O 0.6535 0.9855 0.3705
15 O 0.6680 0.0145 0.8705
16 O 0.6680 0.6535 0.6295
17 O 0.9855 0.3320 0.6295
18 O 0.9855 0.6535 0.8705

Values from the calculation:
Volume ... 219 Å³ per cell
Space-group type ... No. 163
Formation energy (no corrections) ... -2003 meV per atom

Record 6
Dy4Tm5In: optimized geometry, GGA-PBE.

Lattice parameters (Å, degrees): 7.9616 7.9616 7.9616 97.41 97.41 137.90
Sites, in units of the cell vectors:
1 Dy 0.0000 0.3154 0.3154
2 Dy 0.0000 0.6846 0.6846
3 Dy 0.3154 0.0000 0.3154
4 Dy 0.6846 0.0000 0.6846
5 Tm 0.2145 0.2145 0.0000
6 Tm 0.3149 0.3149 0.6295
7 Tm 0.3149 0.6854 0.0000
8 Tm 0.6854 0.3149 0.0000
9 Tm 0.6854 0.6854 0.3705
10 In 0.7313 0.7313 0.0000

Values from the calculation:
Volume ... 316 Å³ per cell
Space-group type ... No. 107
Formation enthalpy at 0 K ... 0.118 eV/atom